{
  "formula": "Bi2MoW",
  "functional": "PBE",
  "state": "relaxed",
  "lattice_angstrom": [[0.000, 3.489, 3.489], [3.489, 0.000, 3.489], [3.489, 3.489, 0.000]],
  "species": ["Bi", "Bi", "Mo", "W"],
  "fractional_positions": [[0.000, 0.000, 0.000], [0.250, 0.250, 0.250], [0.500, 0.500, 0.500], [0.750, 0.750, 0.750]],
  "total_energy_ev_per_atom": -6.87,
  "density_kg_m3": 13646
}